# Ba3TlAu2O6

A relaxed structure of Ba3TlAu2O6 (PBE-GGA, Alexandria via LeMat-Bulk).

Output
Uncorrected formation energy ... -14.12 eV per formula unit
Volume ... 231.2 Å³ per cell
SG ... P-3m1

```
Ba3TlAu2O6
1.0
-4.873 2.893 -2.535
2.767 -4.658 -3.032
-4.271 -4.521 3.049
Ba Au O Tl
3 2 6 1
Cartesian
-2.449 -4.967 -0.961
-3.928 -1.320 -1.557
0.000 0.000 0.000
-6.071 -3.587 -0.028
-0.307 -2.699 -2.490
-6.543 -1.500 -0.511
-1.207 -2.474 -0.503
0.166 -4.786 -2.007
-5.170 -3.812 -2.015
-2.253 -3.350 -3.266
-4.125 -2.936 0.748
-2.136 -2.261 1.525
```


# Ba2TmAu2O6

A relaxed structure of Ba2TmAu2O6 (PBE-GGA, Alexandria via LeMat-Bulk).

Output
Uncorrected formation energy ... -18.67 eV per formula unit
Volume ... 195.7 Å³ per cell
SG ... C2/m

```
Ba2TmAu2O6
1.0
-3.172 -4.674 -1.180
5.638 -0.974 2.812
-5.218 2.551 3.919
O Ba Au Tm
6 2 2 1
Cartesian
-5.899 -2.030 2.506
-2.891 -2.283 2.701
-4.263 0.382 3.115
3.148 -1.067 3.045
0.139 -0.814 2.850
1.511 -3.479 2.436
-2.019 0.219 4.559
-0.733 -3.316 0.992
-0.857 0.209 1.475
-1.894 -3.306 4.076
-4.195 -1.061 1.369
```


# BaTmAuO4

A relaxed structure of BaTmAuO4 (PBE-GGA, Alexandria via LeMat-Bulk).

Output
Uncorrected formation energy ... -12.32 eV per formula unit
Volume ... 260.6 Å³ per cell
SG ... Cmcm

```
BaTmAuO4
1.0
-5.389 -0.432 2.389
-0.203 -1.408 -5.737
1.414 -7.602 1.816
O Tm Ba Au
8 2 2 2
Cartesian
-1.032 -2.332 -0.276
-2.865 -8.238 2.463
-3.946 -3.291 -2.020
-0.608 -4.995 -3.090
-3.147 -7.110 -1.257
-1.313 -1.204 -3.995
-3.570 -4.447 1.557
-0.232 -6.151 0.488
-4.380 -2.456 1.815
0.201 -6.986 -3.347
-2.796 -0.920 -1.674
-2.089 -4.721 -0.766
-3.315 -6.324 2.162
-0.863 -3.118 -3.695
```


# BaY4Au3O12

A relaxed structure of BaY4Au3O12 (PBE-GGA, Alexandria via LeMat-Bulk).

Output
Uncorrected formation energy ... -41.40 eV per formula unit
Volume ... 293.2 Å³ per cell
SG ... Im-3

```
BaY4Au3O12
1.0
-0.326 0.009 7.241
6.367 -2.734 -2.129
-0.658 6.788 -2.457
Au O Y Ba
3 12 4 1
Cartesian
-0.492 3.399 2.392
2.855 2.027 -2.293
3.021 -1.362 2.556
0.243 5.299 2.536
3.631 3.834 0.272
2.609 3.219 3.285
2.774 0.845 -0.629
1.410 4.836 -1.608
0.605 2.799 0.777
5.140 -1.235 0.119
3.974 -0.773 4.264
4.873 2.336 -2.316
1.752 0.229 2.384
4.778 1.265 1.879
0.510 1.728 4.972
2.692 2.032 1.328
-0.163 0.005 3.621
-0.329 3.394 -1.229
3.184 -1.367 -1.064
0.000 0.000 0.000
```


# Ba3YAu2O6

A relaxed structure of Ba3YAu2O6 (PBE-GGA, Alexandria via LeMat-Bulk).

Output
Uncorrected formation energy ... -20.90 eV per formula unit
Volume ... 232.6 Å³ per cell
SG ... P-3m1

```
Ba3YAu2O6
1.0
6.226 0.000 0.000
-3.113 5.392 0.000
0.000 0.000 6.928
Au O Ba Y
2 6 3 1
Cartesian
3.113 1.797 6.008
0.000 3.594 0.921
0.000 1.779 2.144
1.572 4.502 2.144
3.113 3.612 4.784
4.685 0.890 4.784
1.541 0.890 4.784
-1.572 4.502 2.144
3.113 1.797 2.561
0.000 3.594 4.368
0.000 0.000 0.000
0.000 0.000 3.464
```


# Ba2YAuO4

A relaxed structure of Ba2YAuO4 (PBE-GGA, Alexandria via LeMat-Bulk).

Output
Uncorrected formation energy ... -16.78 eV per formula unit
Volume ... 177.3 Å³ per cell
SG ... I-4

```
Ba2YAuO4
1.0
-4.508 2.216 -4.492
1.570 -6.315 1.748
-0.384 -0.204 6.724
O Ba Y Au
4 2 1 1
Cartesian
-3.366 -1.574 -2.602
-0.279 -0.952 4.272
-1.085 -4.840 5.117
-1.913 -1.242 1.174
-1.172 -3.679 0.747
0.000 0.000 0.000
-2.149 -0.624 3.234
0.593 -3.260 4.236
```